Entry w
The following is a meta-GGA SCAN calculation of Li2Co3SbO8 at its PBEsol-relaxed geometry, from the Alexandria database.

a = 8.1518 Å, b = 8.1518 Å, c = 8.1518 Å
α = 90.00°, β = 90.00°, γ = 90.00°
Space group P4_332 (No. 212)
Asymmetric unit:
Li 0.0047 0.4953 0.5047 [8 per cell]
Co 0.1176 0.1324 0.6250 [12 per cell]
Sb 0.1250 0.8750 0.3750 [4 per cell]
O 0.1047 0.1224 0.3908 [24 per cell]
O 0.1114 0.6114 0.8886 [8 per cell]

Summary:
For the density of states at the Fermi level, the calculation gives 0.0000 states/eV per atom.

Entry x
The following is a meta-GGA SCAN calculation of Li2Co3SbO8 at its PBEsol-relaxed geometry, from the Alexandria database.

a = 5.7108 Å, b = 5.7108 Å, c = 14.4210 Å
α = 90.00°, β = 90.00°, γ = 120.00°
Space group R-3m (No. 166, hexagonal axes)
Asymmetric unit:
Li 0.0000 0.0000 0.1253 [6 per cell]
Co 0.0000 0.5000 0.0000 [9 per cell]
Sb 0.0000 0.0000 0.5000 [3 per cell]
O 0.0000 0.0000 0.2670 [6 per cell]
O 0.0268 0.5134 0.2589 [18 per cell]

Summary:
For the density of states at the Fermi level, the calculation gives 0.0000 states/eV per atom.

Least stable structure: entry x

Entry w
The following is a meta-GGA SCAN calculation of Li2CoSi2O6 at its PBEsol-relaxed geometry, from the Alexandria database.

a = 5.3702 Å, b = 4.7070 Å, c = 9.5505 Å
α = 90.00°, β = 93.06°, γ = 90.00°
Space group P2_1 (No. 4)
Asymmetric unit:
Li 0.1515 0.0000 0.3338 [2 per cell]
Li 0.3393 0.4999 0.4892 [2 per cell]
Co 0.2689 0.5078 0.1495 [2 per cell]
Si 0.1876 0.9972 0.6612 [2 per cell]
Si 0.3713 0.4946 0.8275 [2 per cell]
O 0.1032 0.4091 0.3251 [2 per cell]
O 0.2107 0.3497 0.6858 [2 per cell]
O 0.2293 0.4133 0.9628 [2 per cell]
O 0.3027 0.9158 0.5146 [2 per cell]
O 0.3417 0.9007 0.1843 [2 per cell]
O 0.3648 0.8438 0.7892 [2 per cell]

Summary:
For the density of states at the Fermi level, the calculation gives 0.0000 states/eV per atom.

Entry x
The following is a meta-GGA SCAN calculation of Li2CoSi2O6 at its PBEsol-relaxed geometry, from the Alexandria database.

a = 7.2012 Å, b = 19.0747 Å, c = 7.1773 Å
α = 90.00°, β = 90.00°, γ = 90.00°
Space group Fdd2 (No. 43)
Asymmetric unit:
Li 0.0196 0.1659 0.0000 [16 per cell]
Co 0.0000 0.0000 0.0015 [8 per cell]
Si 0.0627 0.3312 0.9294 [16 per cell]
O 0.0252 0.2453 0.3930 [16 per cell]
O 0.0263 0.0830 0.8383 [16 per cell]
O 0.1070 0.1121 0.4784 [16 per cell]

Summary:
For the density of states at the Fermi level, the calculation gives 0.0000 states/eV per atom.

Entry y
The following is a meta-GGA SCAN calculation of Li2CoSi2O6 at its PBEsol-relaxed geometry, from the Alexandria database.

a = 5.7164 Å, b = 9.4953 Å, c = 9.2105 Å
α = 90.00°, β = 90.59°, γ = 90.00°
Space group C2/c (No. 15)
Asymmetric unit:
Li 0.0604 0.1697 0.3824 [8 per cell]
Co 0.0000 0.2510 0.7500 [4 per cell]
Si 0.1713 0.4678 0.3648 [8 per cell]
O 0.0000 0.3782 0.2500 [4 per cell]
O 0.0000 0.5000 0.0000 [4 per cell]
O 0.1201 0.1397 0.5890 [8 per cell]
O 0.2426 0.1154 0.2065 [8 per cell]

Summary:
For the density of states at the Fermi level, the calculation gives 0.0000 states/eV per atom.

Least stable structure: entry w

Entry w
The following is a meta-GGA SCAN calculation of LiCoSiO4 at its PBEsol-relaxed geometry, from the Alexandria database.

a = 13.6883 Å, b = 13.6883 Å, c = 9.1647 Å
α = 90.00°, β = 90.00°, γ = 120.00°
Space group R3 (No. 146, hexagonal axes)
Asymmetric unit:
Li 0.0169 0.8090 0.0000 [9 per cell]
Li 0.1426 0.4576 0.1640 [9 per cell]
Co 0.0188 0.8049 0.3318 [9 per cell]
Co 0.1389 0.4569 0.4989 [9 per cell]
Si 0.0127 0.8034 0.6671 [9 per cell]
Si 0.1366 0.4546 0.8341 [9 per cell]
O 0.0007 0.6778 0.6691 [9 per cell]
O 0.0114 0.3403 0.8371 [9 per cell]
O 0.0742 0.8687 0.5148 [9 per cell]
O 0.0811 0.8753 0.8113 [9 per cell]
O 0.1031 0.8865 0.1736 [9 per cell]
O 0.2011 0.4612 0.6798 [9 per cell]
O 0.2084 0.0864 0.3088 [9 per cell]
O 0.2146 0.0990 0.6732 [9 per cell]

Entry x
The following is a meta-GGA SCAN calculation of LiCoSiO4 at its PBEsol-relaxed geometry, from the Alexandria database.

a = 5.3079 Å, b = 5.3079 Å, c = 11.9399 Å
α = 90.00°, β = 90.00°, γ = 120.00°
Space group P6_422 (No. 181)
Asymmetric unit:
Li 0.0000 0.0000 0.0000 [3 per cell]
Co 0.0000 0.5000 0.8333 [3 per cell]
Si 0.0000 0.5000 0.3333 [3 per cell]
O 0.1872 0.3924 0.2587 [12 per cell]

Entry y
The following is a meta-GGA SCAN calculation of LiCoSiO4 at its PBEsol-relaxed geometry, from the Alexandria database.

a = 9.9694 Å, b = 5.8269 Å, c = 4.5521 Å
α = 90.00°, β = 90.00°, γ = 90.00°
Space group Pnma (No. 62)
Asymmetric unit:
Li 0.2230 0.2500 0.0152 [4 per cell]
Co 0.0000 0.0000 0.5000 [4 per cell]
Si 0.0825 0.7500 0.0759 [4 per cell]
O 0.0648 0.2500 0.7336 [4 per cell]
O 0.0803 0.7500 0.7130 [4 per cell]
O 0.1441 0.5162 0.2185 [8 per cell]

Summary:
For the density of states at the Fermi level, the calculation gives 0.0000 states/eV per atom.

Least stable structure: entry x

Entry w
The following is a meta-GGA SCAN calculation of LiCoSiO4 at its PBEsol-relaxed geometry, from the Alexandria database.

a = 4.4360 Å, b = 4.4360 Å, c = 8.4135 Å
α = 90.00°, β = 90.00°, γ = 90.00°
Space group I-4 (No. 82)
Asymmetric unit:
Li 0.0000 0.0000 0.0000 [2 per cell]
Co 0.0000 0.5000 0.2500 [2 per cell]
Si 0.0000 0.0000 0.5000 [2 per cell]
O 0.1890 0.2444 0.3916 [8 per cell]

Entry x
The following is a meta-GGA SCAN calculation of LiCoSiO4 at its PBEsol-relaxed geometry, from the Alexandria database.

a = 13.5793 Å, b = 13.5793 Å, c = 9.2865 Å
α = 90.00°, β = 90.00°, γ = 120.00°
Space group R-3 (No. 148, hexagonal axes)
Asymmetric unit:
Li 0.0176 0.2114 0.2509 [18 per cell]
Co 0.0161 0.2101 0.9099 [18 per cell]
Si 0.0190 0.2102 0.5772 [18 per cell]
O 0.0030 0.3204 0.5666 [18 per cell]
O 0.0739 0.2020 0.7291 [18 per cell]
O 0.0870 0.2140 0.0736 [18 per cell]
O 0.0957 0.2055 0.4405 [18 per cell]

Least stable structure: entry w